Entry 1:
DFT (PBE-GGA) results for La2RuRh after structural relaxation.

Values from the calculation:
For the formation energy, the calculation gives -372 meV per atom. For the spin magnetization, the calculation gives 0.0 μB/cell. As for the crystal system: monoclinic. The calculated total energy comes out at -6.9928 eV per atom. Its density is 8.74 g/cm3.

The structure in CIF format:
```
data_La2RuRh
_cell_length_a 3.600
_cell_length_b 3.593
_cell_length_c 7.075
_cell_angle_alpha 90.00
_cell_angle_beta 90.18
_cell_angle_gamma 90.00
_symmetry_space_group_name_H-M 'P 1 2/m 1'
_symmetry_Int_Tables_number 10
_symmetry_space_group_name_Hall '-P 2y'
loop_
_atom_site_label
_atom_site_fract_x
_atom_site_fract_y
_atom_site_fract_z
La1 0.000 0.000 0.249
Ru1 0.500 0.500 0.000
Rh1 0.500 0.500 0.500
```


Entry 2:
DFT (PBE-GGA) results for La4RuRh2 after structural relaxation.

Values from the calculation:
For the energy above the lowest structure with this stoichiometry, the calculation gives 150 kJ/mol of formula units. For the formation energy, the calculation gives -326 meV per atom. For the spin magnetization, the calculation gives 0.0 μB/cell. As for the crystal system: tetragonal. The calculated total energy comes out at -6.5677 eV per atom. Its density is 6.93 g/cm3.

The structure in CIF format:
```
data_La4RuRh2
_cell_length_a 5.289
_cell_length_b 5.289
_cell_length_c 14.774
_cell_angle_alpha 90.00
_cell_angle_beta 90.00
_cell_angle_gamma 90.00
_symmetry_space_group_name_H-M 'I 4/m m m'
_symmetry_Int_Tables_number 139
_symmetry_space_group_name_Hall '-I 4 2'
loop_
_atom_site_label
_atom_site_fract_x
_atom_site_fract_y
_atom_site_fract_z
La1 0.000 0.000 0.198
La2 0.000 0.500 0.000
Ru1 0.000 0.000 0.000
Rh1 0.000 0.000 0.361
```


Entry 3:
DFT (PBE-GGA) results for La6RuRh after structural relaxation.

Values from the calculation:
For the formation energy, the calculation gives -300 meV per atom. For the spin magnetization, the calculation gives 0.0 μB/cell. As for the crystal system: trigonal. The calculated total energy comes out at -6.0736 eV per atom. Its density is 6.17 g/cm3.

The structure in CIF format:
```
data_La6RuRh
_cell_length_a 6.9408
_cell_length_b 6.9408
_cell_length_c 20.0909
_cell_angle_alpha 90.00
_cell_angle_beta 90.00
_cell_angle_gamma 120.00
_symmetry_space_group_name_H-M 'R -3'
_symmetry_Int_Tables_number 148
_symmetry_space_group_name_Hall '-R 3'
loop_
_atom_site_label
_atom_site_fract_x
_atom_site_fract_y
_atom_site_fract_z
La1 0.0012 0.6649 0.0843
Ru1 0.0000 0.0000 0.5000
Rh1 0.0000 0.0000 0.0000
```


Entry 4:
DFT (PBE-GGA) results for LaRuRh after structural relaxation.

Values from the calculation:
For the energy above the lowest structure with this stoichiometry, the calculation gives 199 kJ/mol of formula units. For the formation energy, the calculation gives 494 meV per atom. For the spin magnetization, the calculation gives 0.6 μB/cell. As for the crystal system: trigonal. The calculated total energy comes out at -6.6909 eV per atom. Its density is 10.22 g/cm3.

The structure in CIF format:
```
data_LaRuRh
_cell_length_a 2.9380
_cell_length_b 2.9380
_cell_length_c 7.4521
_cell_angle_alpha 90.00
_cell_angle_beta 90.00
_cell_angle_gamma 120.00
_symmetry_space_group_name_H-M 'P 3 m 1'
_symmetry_Int_Tables_number 156
_symmetry_space_group_name_Hall 'P 3 -2"'
loop_
_atom_site_label
_atom_site_fract_x
_atom_site_fract_y
_atom_site_fract_z
La1 0.0000 0.0000 0.0000
Ru1 0.3333 0.6667 0.6344
Rh1 0.6667 0.3333 0.3634
```


Entry 5:
DFT (PBE-GGA) results for LaRu2Rh after structural relaxation.

Values from the calculation:
For the formation energy, the calculation gives 109 meV per atom. For the spin magnetization, the calculation gives 0.0 μB/cell. As for the crystal system: orthorhombic. The calculated total energy comes out at -7.5983 eV per atom. Its density is 10.23 g/cm3.

The structure in CIF format:
```
data_LaRu2Rh
_cell_length_a 2.891
_cell_length_b 3.773
_cell_length_c 6.609
_cell_angle_alpha 90.00
_cell_angle_beta 90.00
_cell_angle_gamma 90.00
_symmetry_space_group_name_H-M 'P m m 2'
_symmetry_Int_Tables_number 25
_symmetry_space_group_name_Hall 'P 2 -2'
loop_
_atom_site_label
_atom_site_fract_x
_atom_site_fract_y
_atom_site_fract_z
La1 0.000 0.000 0.000
Ru1 0.000 0.000 0.511
Ru2 0.500 0.500 0.679
Rh1 0.500 0.500 0.286
```


Entry 6:
DFT (PBE-GGA) results for LaRu2Rh after structural relaxation.

Values from the calculation:
For the formation energy, the calculation gives 179 meV per atom. For the spin magnetization, the calculation gives 0.0 μB/cell. As for the crystal system: orthorhombic. The calculated total energy comes out at -7.5290 eV per atom. Its density is 10.41 g/cm3.

The structure in CIF format:
```
data_LaRu2Rh
_cell_length_a 4.014
_cell_length_b 4.429
_cell_length_c 7.966
_cell_angle_alpha 90.00
_cell_angle_beta 90.00
_cell_angle_gamma 90.00
_symmetry_space_group_name_H-M 'I m m 2'
_symmetry_Int_Tables_number 44
_symmetry_space_group_name_Hall 'I 2 -2'
loop_
_atom_site_label
_atom_site_fract_x
_atom_site_fract_y
_atom_site_fract_z
La1 0.000 0.000 0.000
Ru1 0.000 0.000 0.519
Ru2 0.000 0.500 0.245
Rh1 0.000 0.500 0.764
```


Per-record volume, Å³ per atom: 22.881; 29.517; 34.924; 18.569; 18.024; 17.699